1.
Entry from the Alexandria database: crystalline TbNd3Cd3 at its relaxed geometry (PBE).

```
TbNd3Cd3
1.0
5.3685 -5.4881 0.0000
5.3685 5.4881 0.0000
0.0000 0.0000 7.2480
Tb Nd Cd
2 6 6
Cartesian
5.3685 2.7507 0.0000
5.3685 -2.7507 0.0000
2.5233 0.0000 0.0000
2.5426 0.0000 3.6240
5.3685 2.7812 3.6240
5.3685 -2.7812 3.6240
8.1944 0.0000 3.6240
8.2137 0.0000 0.0000
2.6843 2.7440 1.7722
2.6843 2.7440 5.4758
2.6843 -2.7440 1.7722
2.6843 -2.7440 5.4758
5.3685 0.0000 1.7747
5.3685 0.0000 5.4733
```

Values from the calculation:
space-group type: Cmmm, No. 65
final energy: -3.25 eV per atom
energy of formation: -1.09 eV per formula unit
crystal system: orthorhombic



2.
Entry from the Alexandria database: crystalline TlNi2P at its relaxed geometry (PBE).

```
TlNi2P
1.0
-2.2663 2.2663 7.1450
2.2663 -2.2663 7.1450
2.2663 2.2663 -7.1450
Tl Ni P
2 4 2
Cartesian
0.0000 0.0000 0.0000
0.0000 2.2663 3.5725
1.1332 -0.4606 5.3588
1.8058 1.1332 1.7863
1.1332 2.7269 -1.7863
0.4606 1.1332 8.9313
2.2663 0.0000 3.5725
0.0000 0.0000 7.1450
```

Values from the calculation:
space-group type: I-42d, No. 122
final energy: -4.79 eV per atom
energy of formation: 0.17 eV per formula unit
crystal system: tetragonal



3.
Entry from the Alexandria database: crystalline CuNi2Ir at its relaxed geometry (PBE).

```
CuNi2Ir
1.0
2.6970 0.0000 0.0000
0.0000 4.2735 0.0000
0.0000 0.0000 4.2777
Cu Ni Ir
1 2 1
Cartesian
0.0000 0.0000 0.0000
0.0000 2.1368 2.1389
1.3485 0.0000 2.1389
1.3485 2.1368 0.0000
```

Values from the calculation:
space-group type: Pmmm, No. 47
final energy: -5.97 eV per atom
energy of formation: 0.65 eV per formula unit
crystal system: orthorhombic



4.
Entry from the Alexandria database: crystalline VB2Mo at its relaxed geometry (PBE).

```
VB2Mo
1.0
3.0315 0.0000 0.0000
0.0000 1.5584 4.1435
0.0000 -1.5584 4.1435
V B Mo
1 2 1
Cartesian
0.0000 0.0000 0.0000
0.0000 0.0000 5.8107
1.5157 0.0000 4.8026
1.5157 0.0000 2.4204
```

Values from the calculation:
space-group type: Amm2, No. 38
E above lowest polymorph: 0.000 eV/atom
final energy: -9.02 eV per atom
energy of formation: -2.78 eV per formula unit
crystal system: orthorhombic



Q: What is the formula in the first record?
A: TbNd3Cd3